First-principles (PBE) data for crystalline HgB3I at its relaxed geometry, as listed in the Alexandria database.

Cell lengths 4.506, 4.506, 4.506 Å; angles 90.00, 90.00, 90.00 degrees
Fractional coordinates of all 5 atoms:
I: 0.000 0.000 0.000
B: 0.000 0.500 0.000
B: 0.000 0.000 0.500
B: 0.500 0.000 0.000
Hg: 0.500 0.500 0.500

Summary:
Spin magnetization = 0.00 μB per formula unit
Energy relative to the elements, uncorrected = 2544 meV per atom
Calculated total energy = -9.2 eV/f.u.
Volume = 18.30 A^3/atom


First-principles (PBE) data for crystalline HgB3I at its relaxed geometry, as listed in the Alexandria database.

Cell lengths 4.589, 4.589, 4.589 Å; angles 90.00, 90.00, 90.00 degrees
Fractional coordinates of all 5 atoms:
I: 0.500 0.500 0.500
B: 0.000 0.500 0.000
B: 0.000 0.000 0.500
B: 0.500 0.000 0.000
Hg: 0.000 0.000 0.000

Summary:
Spin magnetization = 0.00 μB per formula unit
Energy relative to the elements, uncorrected = 2144 meV per atom
Calculated total energy = -11.2 eV/f.u.
Volume = 19.32 A^3/atom


no.,ΔE to the lowest computed polymorph (meV/atom)
1,399.8
2,0.0